MnAl4Ag | Alexandria via LeMat-Bulk | PBE-GGA | relaxed; N(E_F) = 5.143 states/eV/cell; density = 4.60 g cm⁻³; volume = 16.3 Å³ per atom; total DFT energy (no corrections) = -4.57 eV per atom; E above lowest polymorph = 0.00 kcal/mol of atoms; calculated formation energy = -0.0727 eV per atom
1.0
4.739 -0.207 0.000
-1.534 7.822 0.000
-1.603 -3.808 5.317
Mn Al Ag
2 8 2
Direct
0.248 0.998 0.996 Mn
0.752 0.002 0.004 Mn
0.019 0.170 0.822 Al
0.764 0.698 0.627 Al
0.303 0.652 0.822 Al
0.363 0.929 0.627 Al
0.637 0.071 0.373 Al
0.697 0.348 0.178 Al
0.236 0.302 0.373 Al
0.981 0.830 0.178 Al
0.345 0.595 0.191 Ag
0.655 0.405 0.809 Ag